{
  "formula": "Ba4Sr5Cd2",
  "functional": "PBE-GGA",
  "state": "optimized geometry",
  "lattice_angstrom": [[10.589, 0.000, 0.000], [0.000, 4.354, 0.000], [-0.625, 0.000, 12.518]],
  "species": ["Ba", "Ba", "Ba", "Ba", "Sr", "Sr", "Sr", "Sr", "Sr", "Cd", "Cd"],
  "fractional_positions": [[0.185, 0.000, 0.342], [0.200, 0.000, 0.961], [0.800, 0.000, 0.039], [0.815, 0.000, 0.658], [0.161, 0.500, 0.652], [0.472, 0.500, 0.170], [0.500, 0.500, 0.500], [0.528, 0.500, 0.830], [0.839, 0.500, 0.348], [0.053, 0.500, 0.142], [0.947, 0.500, 0.858]],
  "ef_ev_per_fu": -0.75,
  "final_energy_ev_per_cell": -18.68,
  "crystal_system": "monoclinic"
}